Compound: TaSiHg2
Source: Alexandria via LeMat-Bulk
Functional: GGA-PBE
Structure: optimized geometry

Magnetization ... 0.000 Bohr magnetons per cell
DOS at the Fermi energy ... 3.13 states/eV/f.u.
Energy relative to the elements, uncorrected ... 23.78 kJ per mole of atoms
Crystal system ... orthorhombic

Lattice parameters (Å, degrees): 3.382 3.492 6.827 90.00 90.00 90.00
Space group Pmm2 (No. 25)
Symmetry-distinct sites (fractional):
Ta: 0.000 0.000 0.000 (multiplicity 1)
Si: 0.500 0.500 0.878 (multiplicity 1)
Hg: 0.000 0.000 0.570 (multiplicity 1)
Hg: 0.500 0.500 0.288 (multiplicity 1)

***

Compound: PaTc2Sn
Source: Alexandria via LeMat-Bulk
Functional: GGA-PBE
Structure: optimized geometry

Magnetization ... 0.000 Bohr magnetons per cell
DOS at the Fermi energy ... 5.25 states/eV/f.u.
Crystal system ... cubic
Energy of formation ... -0.9 eV per formula unit

Lattice parameters (Å, degrees): 6.705 6.705 6.705 90.00 90.00 90.00
Space group Fm-3m (No. 225)
Symmetry-distinct sites (fractional):
Pa: 0.000 0.000 0.000 (multiplicity 4)
Tc: 0.250 0.250 0.250 (multiplicity 8)
Sn: 0.000 0.000 0.500 (multiplicity 4)

***

Compound: Ti2GeI
Source: Alexandria via LeMat-Bulk
Functional: GGA-PBE
Structure: optimized geometry

Magnetization ... 0.001 Bohr magnetons per cell
DOS at the Fermi energy ... 4.14 states/eV/f.u.
Energy relative to the elements, uncorrected ... 32.55 kJ per mole of atoms
Crystal system ... tetragonal

Lattice parameters (Å, degrees): 5.868 5.868 12.623 90.00 90.00 90.00
Space group I-42d (No. 122)
Symmetry-distinct sites (fractional):
Ti: 0.202 0.250 0.125 (multiplicity 8)
Ge: 0.000 0.000 0.000 (multiplicity 4)
I: 0.000 0.000 0.500 (multiplicity 4)

***

Compound: Nd2DyPuSe4
Source: Alexandria via LeMat-Bulk
Functional: GGA-PBE
Structure: optimized geometry

Magnetization ... 5.828 Bohr magnetons per cell
DOS at the Fermi energy ... 9.67 states/eV/f.u.
Energy relative to the elements, uncorrected ... -169.50 kJ per mole of atoms
Crystal system ... monoclinic

Lattice parameters (Å, degrees): 7.215 4.144 7.254 90.00 109.08 90.00
Space group P2/m (No. 10)
Symmetry-distinct sites (fractional):
Nd: 0.000 0.000 0.000 (multiplicity 1)
Nd: 0.500 0.500 0.000 (multiplicity 1)
Dy: 0.000 0.500 0.500 (multiplicity 1)
Pu: 0.500 0.000 0.500 (multiplicity 1)
Se: 0.244 0.000 0.738 (multiplicity 2)
Se: 0.251 0.500 0.260 (multiplicity 2)

***

Compound: Hg13Br2
Source: Alexandria via LeMat-Bulk
Functional: GGA-PBE
Structure: optimized geometry

Magnetization ... 0.000 Bohr magnetons per cell
DOS at the Fermi energy ... 2.94 states/eV/f.u.
Energy relative to the elements, uncorrected ... -5.63 kJ per mole of atoms
Crystal system ... trigonal

Lattice parameters (Å, degrees): 8.0837 8.0837 24.0371 90.00 90.00 120.00
Space group R-3m (No. 166, hexagonal axes)
Symmetry-distinct sites (fractional):
Hg: 0.0000 0.0000 0.0000 (multiplicity 3)
Hg: 0.0722 0.5361 0.2288 (multiplicity 18)
Hg: 0.0752 0.5376 0.3865 (multiplicity 18)
Br: 0.0000 0.0000 0.1639 (multiplicity 6)

***

Compound: Zr2ScSb
Source: Alexandria via LeMat-Bulk
Functional: GGA-PBE
Structure: optimized geometry

Magnetization ... 0.000 Bohr magnetons per cell
DOS at the Fermi energy ... 5.05 states/eV/f.u.
Energy relative to the elements, uncorrected ... -13.01 kJ per mole of atoms
Crystal system ... trigonal

Lattice parameters (Å, degrees): 3.2935 3.2935 30.1769 90.00 90.00 120.00
Space group R-3m (No. 166, hexagonal axes)
Symmetry-distinct sites (fractional):
Zr: 0.0000 0.0000 0.2475 (multiplicity 6)
Sc: 0.0000 0.0000 0.0000 (multiplicity 3)
Sb: 0.0000 0.0000 0.5000 (multiplicity 3)

***

- The highest magnetization belongs to which entry?
  Nd2DyPuSe4